Record 1
Here is crystalline La2InNi at its relaxed geometry from the Alexandria database. Energies are from PBE-GGA.

The structure in POSCAR format:
```
La2InNi
1.0
-1.6423 1.5441 2.5898
-2.8664 -1.7143 -0.7956
2.4362 -6.6229 5.4936
In La Ni
1 2 1
Cartesian
-0.5767 -4.6459 4.6802
2.3282 -6.3291 5.2499
-1.4595 -2.2459 2.6894
1.2899 -3.5066 2.9087
```

## Properties
Its formation energy is -0.15 eV/atom. Its crystal system is tetragonal.

***

Record 2
Here is crystalline Nd5PdS4 at its relaxed geometry from the Alexandria database. Energies are from PBE-GGA.

The structure in POSCAR format:
```
Nd5PdS4
1.0
3.9441 0.0000 0.9009
1.6581 6.7437 1.8251
-0.0250 0.0096 9.1934
Nd Pd S
5 1 4
Cartesian
2.2789 6.0776 8.1911
3.2983 0.6757 3.7283
2.0546 2.0727 9.1730
0.8165 3.3767 5.5092
3.5226 4.6807 2.7463
0.0000 0.0000 0.0000
2.6821 1.3718 6.4256
1.4445 2.6647 2.7598
4.1326 4.0887 9.1595
2.8950 5.3816 5.4938
```

## Properties
As for the uncorrected formation energy: -17.5 eV/f.u. Its crystal system is monoclinic.

***

Record 3
Here is crystalline TlFe2IrI at its relaxed geometry from the Alexandria database. Energies are from PBE-GGA.

The structure in POSCAR format:
```
TlFe2IrI
1.0
4.6424 0.0000 0.0000
0.0000 5.5518 0.0000
0.0000 0.0000 4.6424
I Tl Ir Fe
1 1 1 2
Cartesian
0.0000 2.7759 0.0000
2.3212 2.7759 2.3212
0.0000 0.0000 0.0000
0.0000 0.0000 2.3212
2.3212 0.0000 0.0000
```

## Properties
As for the uncorrected formation energy: 6.5 eV/f.u. Its crystal system is tetragonal.

***

Record 4
Here is crystalline Ba2ScAg3Bi4 at its relaxed geometry from the Alexandria database. Energies are from PBE-GGA.

The structure in POSCAR format:
```
Ba2ScAg3Bi4
1.0
4.9981 0.0000 0.0000
0.0000 4.9981 0.0000
0.0000 0.0000 12.3653
Ba Sc Ag Bi
2 1 3 4
Cartesian
2.4991 0.0000 2.9020
0.0000 2.4991 9.4633
2.4991 2.4991 6.1827
0.0000 0.0000 6.1827
2.4991 0.0000 10.7265
0.0000 2.4991 1.6389
2.4991 2.4991 0.0000
0.0000 0.0000 0.0000
2.4991 0.0000 7.8394
0.0000 2.4991 4.5259
```

## Properties
Its formation energy is -0.48 eV/atom. Its crystal system is tetragonal.

***

Record 5
Here is crystalline Ac5PrNd2Y at its relaxed geometry from the Alexandria database. Energies are from PBE-GGA.

The structure in POSCAR format:
```
Ac5PrNd2Y
1.0
5.9999 0.0000 0.0000
-2.9999 10.9481 0.0000
0.0000 0.0000 11.2967
Ac Pr Nd Y
10 2 4 2
Cartesian
0.0000 8.1798 0.1995
2.9999 4.8928 9.2740
0.0000 10.6728 8.4427
0.0000 6.5022 7.9476
2.9999 10.7115 5.7749
2.9999 2.7683 5.8479
0.0000 6.0553 3.6256
2.9999 0.2753 2.7943
2.9999 4.4459 2.2992
0.0000 0.2365 0.1265
2.9999 2.0614 10.9336
0.0000 8.8867 5.2852
2.9999 8.4426 9.0418
0.0000 2.5452 8.3816
0.0000 2.5055 3.3935
2.9999 8.4028 2.7333
2.9999 6.7559 5.7961
0.0000 4.1921 0.1477
```

## Properties
Its formation energy is 0.14 eV/atom. Its crystal system is orthorhombic.

***

Record 6
Here is crystalline KSm4S6 at its relaxed geometry from the Alexandria database. Energies are from PBE-GGA.

The structure in POSCAR format:
```
KSm4S6
1.0
-0.0492 1.9092 -3.5570
-4.0508 -5.7173 -0.7216
-16.9511 11.2205 6.2570
K Sm S
2 8 12
Cartesian
-5.4781 2.3390 -0.9600
-15.5730 5.0735 2.9385
-12.2326 3.5270 -0.2290
-5.5343 -2.2730 -1.1435
-8.8185 3.8854 2.2074
-15.5168 9.6854 3.1220
-19.2616 8.1797 2.3656
-1.7896 -0.7673 -0.3871
-11.6241 7.1087 1.6851
-9.4270 0.3037 0.2934
-0.0246 0.9546 -1.7785
-8.5001 6.5649 1.3500
-6.1399 3.5672 1.9996
-14.9112 3.8452 -0.0212
-18.1725 6.0039 1.1827
-2.8786 1.4085 0.7958
-9.3792 3.0920 -0.5019
-11.6720 4.3204 2.4804
-17.4756 8.1620 4.6226
-3.5755 -0.7496 -2.6441
-6.8947 -0.2998 -0.0656
-14.1564 7.7123 2.0441
```

## Properties
As for the uncorrected formation energy: -21.4 eV/f.u. Its crystal system is orthorhombic.

***

Record 7
Here is crystalline SrScAu at its relaxed geometry from the Alexandria database. Energies are from PBE-GGA.

The structure in POSCAR format:
```
SrScAu
1.0
4.2830 0.0000 0.0000
-2.1415 3.7092 0.0000
0.0000 0.0000 6.1735
Au Sc Sr
1 1 1
Cartesian
0.0000 0.0000 0.3419
2.1415 1.2364 1.3851
0.0000 2.4728 4.4465
```

## Properties
Its formation energy is -0.31 eV/atom. For the distance to the lowest polymorph of the same formula, the calculation gives 237.4 meV/atom. Its crystal system is trigonal.

***

Record 8
Here is crystalline BaNiRh2 at its relaxed geometry from the Alexandria database. Energies are from PBE-GGA.

The structure in POSCAR format:
```
BaNiRh2
1.0
3.1060 0.0000 0.0000
0.0000 4.8849 0.0000
0.0000 0.0000 4.9269
Ba Ni Rh
1 1 2
Cartesian
1.5530 0.0000 2.4635
0.0000 2.4424 2.4635
0.0000 0.0000 0.0000
1.5530 2.4424 0.0000
```

## Properties
Its formation energy is 0.59 eV/atom. Its crystal system is orthorhombic.

***

Record 9
Here is crystalline ReRh3W at its relaxed geometry from the Alexandria database. Energies are from PBE-GGA.

The structure in POSCAR format:
```
ReRh3W
1.0
-3.9689 2.3048 -1.5222
-2.8825 -3.6307 2.0179
1.2075 5.1245 4.6110
Re Rh W
2 6 2
Cartesian
-3.1901 4.7500 3.9897
-2.4538 -0.9514 1.1170
-5.1964 0.0243 2.0649
-3.7811 1.8068 1.0742
-1.8628 1.9918 4.0325
-0.4475 3.7742 3.0418
0.0000 0.0000 0.0000
-1.9845 1.1524 -0.7611
-4.5669 2.0227 3.4498
-1.0770 1.7759 1.6569
```

## Properties
Its formation energy is 0.40 eV/atom. For the distance to the lowest polymorph of the same formula, the calculation gives 0.0 meV/atom. Its crystal system is orthorhombic.

***

Record 10
Here is crystalline Tm2CoRe at its relaxed geometry from the Alexandria database. Energies are from PBE-GGA.

The structure in POSCAR format:
```
Tm2CoRe
1.0
-2.4284 0.2267 1.8698
-2.7707 -0.9183 -0.9615
0.0109 -8.9744 3.6278
Re Tm Co
1 2 1
Cartesian
0.0000 0.0000 0.0000
-0.4938 -6.4438 2.6655
-4.6943 -3.2222 1.8706
-2.5941 -4.8330 2.2681
```

## Properties
Its formation energy is 0.72 eV/atom. Its crystal system is trigonal.

***

Record 11
Here is crystalline TbHo2Hg5 at its relaxed geometry from the Alexandria database. Energies are from PBE-GGA.

The structure in POSCAR format:
```
TbHo2Hg5
1.0
5.1964 0.0000 0.0000
0.0000 5.1964 0.0000
-2.5982 -2.5982 7.2911
Tb Ho Hg
1 2 5
Cartesian
0.0000 0.0000 0.0000
2.5982 2.5982 3.4317
0.0000 0.0000 3.8594
2.5982 2.5982 0.0000
2.5982 0.0000 5.4581
0.0000 2.5982 5.4581
0.0000 2.5982 1.8330
2.5982 0.0000 1.8330
```

## Properties
Its formation energy is -0.42 eV/atom. Its crystal system is tetragonal.

***

Record 12
Here is crystalline AlPPt2Au at its relaxed geometry from the Alexandria database. Energies are from PBE-GGA.

The structure in POSCAR format:
```
AlPPt2Au
1.0
4.5512 0.0000 0.0000
0.0000 4.4462 0.0000
0.0000 0.0000 4.5512
P Au Al Pt
1 1 1 2
Cartesian
0.0000 0.0000 0.0000
2.2756 2.2231 2.2756
0.0000 2.2231 0.0000
0.0000 0.0000 2.2756
2.2756 0.0000 0.0000
```

## Properties
Its formation energy is 0.20 eV/atom. Its crystal system is tetragonal.

***

Number 1: volume 105.4 Å³/f.u.. Number 2: volume 244.6 Å³/f.u.. Number 3: volume 119.7 Å³/f.u.. Number 4: volume 308.9 Å³/f.u.. Number 5: volume 371.0 Å³/f.u.. Number 6: volume 289.8 Å³/f.u.. Number 7: volume 98.1 Å³/f.u.. Number 8: volume 74.8 Å³/f.u.. Number 9: volume 79.8 Å³/f.u.. Number 10: volume 77.8 Å³/f.u.. Number 11: volume 196.9 Å³/f.u.. Number 12: volume 92.1 Å³/f.u..